## NaCa5In3 (GGA-PBE)

Data for a relaxed structure of NaCa5In3.

Summary:
Total energy, eV/cell: -44.78
Energy of formation from the pure elements, eV/f.u.: -2.85
SG: No. 193

a = 6.9159 Å, b = 9.7260 Å, c = 9.7257 Å
α = 120.00°, β = 90.00°, γ = 90.00°
Last column: nearest neighbours and their distance in Å.
Element x y z (fractional)
Na: 0.0000 0.0000 0.0000  2 Na 3.46, 6 Ca 3.51
Na: 0.5000 0.0000 0.0000  2 Na 3.46, 6 Ca 3.51
Ca: 0.0000 0.6667 0.3333  8 Ca 3.46-3.76, 6 In 3.57
Ca: 0.5000 0.3333 0.6667  8 Ca 3.46-3.76, 6 In 3.57
Ca: 0.0000 0.3333 0.6667  8 Ca 3.46-3.76, 6 In 3.57
Ca: 0.5000 0.6667 0.3333  8 Ca 3.46-3.76, 6 In 3.57
Ca: 0.7500 0.6861 0.6861  5 In 3.19-3.48, 2 Na 3.51
Ca: 0.7500 0.0000 0.3139  5 In 3.19-3.48, 2 Na 3.51
Ca: 0.7500 0.3139 0.0000  5 In 3.19-3.48, 2 Na 3.51
Ca: 0.2500 0.3139 0.3139  5 In 3.19-3.48, 2 Na 3.51
Ca: 0.2500 0.0000 0.6861  5 In 3.19-3.48, 2 Na 3.51
Ca: 0.2500 0.6861 0.0000  5 In 3.19-3.48, 2 Na 3.51
In: 0.7500 0.3581 0.3581  5 Ca 3.19-3.48
In: 0.7500 0.0000 0.6419  5 Ca 3.19-3.48
In: 0.7500 0.6419 0.0000  5 Ca 3.19-3.48
In: 0.2500 0.6419 0.6419  5 Ca 3.19-3.48
In: 0.2500 0.0000 0.3581  5 Ca 3.19-3.48
In: 0.2500 0.3581 0.0000  5 Ca 3.19-3.48